Compound: Hg2Sb2As
Source: Alexandria via LeMat-Bulk
Functional: PBE
Structure: relaxed

The structure in extended XYZ format:
```
10
Lattice="7.9107 0.0000 0.0000 0.0000 7.9107 0.0000 0.0000 0.0000 4.3299" Properties=species:S:1:pos:R:3 pbc="T T T"
Hg 1.0478 2.9076 0.0000
Hg 2.9076 6.8629 0.0000
Hg 5.0031 1.0478 0.0000
Hg 6.8629 5.0031 0.0000
Sb 1.4996 5.4550 2.1650
Sb 2.4557 1.4996 2.1650
Sb 5.4550 6.4111 2.1650
Sb 6.4111 2.4557 2.1650
As 0.0000 0.0000 2.1650
As 3.9554 3.9554 2.1650
```

DFT total energy: -2.434 eV per atom
ΔE_f (raw): 266 meV/atom
space group: P4/mbm (127)
offset from the most stable computed form: 0.001 eV/atom
volume: 271.0 Å³/cell


Compound: Nd5ErSb6
Source: Alexandria via LeMat-Bulk
Functional: PBE
Structure: relaxed

The structure in extended XYZ format:
```
12
Lattice="3.8944 -6.7476 0.0000 3.8944 6.7476 0.0000 -2.6021 0.0000 7.3433" Properties=species:S:1:pos:R:3 pbc="T T T"
Nd 0.0000 0.0000 0.0000
Nd 2.5933 4.5076 3.6717
Nd 3.8944 2.2790 0.0000
Nd 3.8944 -2.2790 0.0000
Nd 2.5933 -4.5076 3.6717
Er 2.5933 0.0000 3.6717
Sb 1.3211 2.2100 1.8683
Sb 0.0445 0.0000 5.4903
Sb 1.3211 -2.2100 1.8683
Sb 3.8655 2.2100 5.4750
Sb 5.1421 0.0000 1.8530
Sb 3.8655 -2.2100 5.4750
```

DFT total energy: -5.596 eV per atom
ΔE_f (raw): -1168 meV/atom
space group: C2/m (12)
volume: 385.9 Å³/cell


Compound: ZrSiS4
Source: Alexandria via LeMat-Bulk
Functional: PBE
Structure: relaxed

The structure in extended XYZ format:
```
12
Lattice="5.9825 0.0000 0.0000 0.0000 5.9903 0.0000 0.0000 0.0000 11.5004" Properties=species:S:1:pos:R:3 pbc="T T T"
Zr 0.0000 0.0000 0.0000
Zr 2.9913 0.0000 5.7502
Si 0.0000 0.0000 5.7502
Si 0.0000 2.9951 0.0000
S 1.2267 1.7137 1.2249
S 1.2267 4.2766 10.2756
S 1.2808 1.2228 6.9823
S 1.2808 4.7675 4.5181
S 4.7017 1.2228 4.5181
S 4.7017 4.7675 6.9823
S 4.7558 1.7137 10.2756
S 4.7558 4.2766 1.2249
```

DFT total energy: -6.002 eV per atom
ΔE_f (raw): -922 meV/atom
space group: P222 (16)
volume: 412.1 Å³/cell


Compound: OsBrCl
Source: Alexandria via LeMat-Bulk
Functional: PBE
Structure: relaxed

The structure in extended XYZ format:
```
6
Lattice="3.1921 0.0000 0.0000 -0.0120 6.2289 0.0000 -1.5367 -1.0301 7.5645" Properties=species:S:1:pos:R:3 pbc="T T T"
Os 0.0298 0.3659 3.0605
Os 1.6137 4.8329 4.5040
Br 0.0291 0.5128 5.3859
Br 1.6144 4.6860 2.1786
Cl 0.0299 1.7203 1.2352
Cl 1.6136 3.4785 6.3293
```

DFT total energy: -4.398 eV per atom
ΔE_f (raw): 518 meV/atom
space group: P-1 (2)
offset from the most stable computed form: 0.218 eV/atom
volume: 150.4 Å³/cell


Compound: ZnSb2OsAu
Source: Alexandria via LeMat-Bulk
Functional: PBE
Structure: relaxed

The structure in extended XYZ format:
```
5
Lattice="5.3042 0.0000 0.0000 0.0000 5.3042 0.0000 0.0000 0.0000 4.6595" Properties=species:S:1:pos:R:3 pbc="T T T"
Zn 0.0000 0.0000 0.0000
Sb 0.0000 2.6521 2.3298
Sb 2.6521 0.0000 2.3298
Os 2.6521 2.6521 0.0000
Au 0.0000 0.0000 2.3298
```

DFT total energy: -3.434 eV per atom
ΔE_f (raw): 1371 meV/atom
space group: P4/mmm (123)
volume: 131.1 Å³/cell


Compound: HfPaTiMo
Source: Alexandria via LeMat-Bulk
Functional: PBE
Structure: relaxed

The structure in extended XYZ format:
```
4
Lattice="0.0000 3.4021 3.4021 3.4021 0.0000 3.4021 3.4021 3.4021 0.0000" Properties=species:S:1:pos:R:3 pbc="T T T"
Hf 0.0000 0.0000 0.0000
Pa 3.4021 3.4021 3.4021
Ti 1.7011 1.7011 1.7011
Mo 5.1032 5.1032 5.1032
```

DFT total energy: -9.552 eV per atom
formation enthalpy at 0 K: -8 meV per atom
space group: F-43m (216)
volume: 78.8 Å³/cell


Compound: Cd2SiCl
Source: Alexandria via LeMat-Bulk
Functional: PBE
Structure: relaxed

The structure in extended XYZ format:
```
8
Lattice="-3.1366 3.1366 6.1820 3.1366 -3.1366 6.1820 3.1366 3.1366 -6.1820" Properties=species:S:1:pos:R:3 pbc="T T T"
Cd 4.7049 1.3432 -1.5455
Cd 1.3432 1.5683 1.5455
Cd -1.5683 1.7935 4.6365
Cd 1.7935 1.5683 7.7275
Si 0.0000 0.0000 0.0000
Si 0.0000 3.1366 3.0910
Cl 3.1366 0.0000 3.0910
Cl 0.0000 0.0000 6.1820
```

DFT total energy: -2.298 eV per atom
ΔE_f (raw): -23 meV/atom
space group: I-42d (122)
offset from the most stable computed form: 0.054 eV/atom
volume: 243.3 Å³/cell


Compound: ZnAsAuO2
Source: Alexandria via LeMat-Bulk
Functional: PBE
Structure: relaxed

The structure in extended XYZ format:
```
5
Lattice="3.9819 0.0000 0.0000 0.0000 3.9819 0.0000 0.0000 0.0000 5.3557" Properties=species:S:1:pos:R:3 pbc="T T T"
Zn 0.0000 0.0000 0.0000
As 1.9909 1.9909 0.0000
Au 1.9909 1.9909 2.6779
O 0.0000 1.9909 2.6779
O 1.9909 0.0000 2.6779
```

DFT total energy: -3.376 eV per atom
ΔE_f (raw): 448 meV/atom
space group: P4/mmm (123)
volume: 84.9 Å³/cell


Question: Look up the DFT total energy of the seventh one.
Answer: -2.298 eV per atom